Record 1
Material: ZnFeSiNi
Method: DFT, PBE
State: relaxed

Unit cell a=3.9992 b=3.9992 c=3.9992 alpha=60.00 beta=60.00 gamma=60.00
Site moments in Bohr magnetons follow the coordinates.
Sites, in units of the cell vectors:
Fe1 0.2500 0.2500 0.2500  0.36
Ni1 0.7500 0.7500 0.7500  0.05
Si1 0.0000 0.0000 0.0000  -0.01
Zn1 0.5000 0.5000 0.5000  -0.01

* energy above the lowest structure with this stoichiometry: 0.000 eV/atom

---

Record 2
Material: ZnFeSiNi
Method: DFT, PBE
State: relaxed

Unit cell a=4.0281 b=4.0281 c=4.0281 alpha=60.00 beta=60.00 gamma=60.00
Site moments in Bohr magnetons follow the coordinates.
Sites, in units of the cell vectors:
Fe1 0.5000 0.5000 0.5000  1.62
Ni1 0.7500 0.7500 0.7500  0.20
Si1 0.2500 0.2500 0.2500  -0.05
Zn1 0.0000 0.0000 0.0000  -0.02

* energy above the lowest structure with this stoichiometry: 0.229 eV/atom

---

Record 3
Material: ZrFeSiNi
Method: DFT, PBE
State: relaxed

Unit cell a=4.3159 b=4.3159 c=4.3159 alpha=60.00 beta=60.00 gamma=60.00
Sites, in units of the cell vectors:
Fe1 0.7500 0.7500 0.7500
Ni1 0.5000 0.5000 0.5000
Si1 0.0000 0.0000 0.0000
Zr1 0.2500 0.2500 0.2500

* energy above the lowest structure with this stoichiometry: 0.186 eV/atom

---

Record 4
Material: ZrFeSiNi
Method: DFT, PBE
State: relaxed

Unit cell a=4.2532 b=4.2532 c=4.2532 alpha=60.00 beta=60.00 gamma=60.00
Sites, in units of the cell vectors:
Fe1 0.7500 0.7500 0.7500
Ni1 0.2500 0.2500 0.2500
Si1 0.0000 0.0000 0.0000
Zr1 0.5000 0.5000 0.5000

* energy above the lowest structure with this stoichiometry: 0.000 eV/atom